Record 1
This record from the Alexandria database describes a geometry-optimized Pm2NdY2Ho structure. The functional is PBE-GGA.

Results
- E (eV for the cell shown) = -60.228
- ΔH_f (0 K) (meV/atom) = 277
- D(E_F) (states/eV/cell) = 21.2
- magnetic moment (μB per atom) = 0.000

Cell and atoms, written as POSCAR:
```
Pm2NdY2Ho
1.0
3.409 0.000 0.000
0.000 6.687 0.000
0.000 0.000 17.994
Pm Nd Y Ho
4 2 4 2
Direct
0.500 0.267 0.318
0.000 0.767 0.182
0.500 0.733 0.682
0.000 0.233 0.818
0.500 0.500 0.000
0.000 0.000 0.500
0.500 0.769 0.351
0.500 0.231 0.649
0.000 0.731 0.851
0.000 0.269 0.149
0.000 0.000 0.000
0.500 0.500 0.500
```

Record 2
This record from the Alexandria database describes a geometry-optimized Na3Se5S12 structure. The functional is PBE-GGA.

Results
- E (eV for the cell shown) = -276.560
- D(E_F) (states/eV/cell) = 19.1
- magnetic moment (μB per atom) = 0.000

Cell and atoms, written as POSCAR:
```
Na3Se5S12
1.0
13.560 0.000 0.000
-4.520 12.785 0.000
-4.520 -6.392 11.072
Na Se S
12 20 48
Direct
0.750 0.375 0.125
0.875 0.750 0.125
0.375 0.750 0.625
0.250 0.125 0.375
0.875 0.125 0.250
0.375 0.625 0.250
0.625 0.375 0.750
0.125 0.875 0.750
0.750 0.875 0.625
0.625 0.250 0.375
0.125 0.250 0.875
0.250 0.625 0.875
0.125 0.375 0.250
0.000 0.500 0.000
0.000 0.000 0.000
0.375 0.250 0.125
0.500 0.000 0.500
0.500 0.500 0.000
0.125 0.750 0.375
0.750 0.125 0.875
0.750 0.625 0.375
0.375 0.125 0.750
0.625 0.875 0.250
0.500 0.500 0.500
0.500 0.000 0.000
0.000 0.000 0.500
0.250 0.375 0.625
0.250 0.875 0.125
0.000 0.500 0.500
0.875 0.250 0.625
0.625 0.750 0.875
0.875 0.625 0.750
0.703 0.125 0.030
0.327 0.530 0.405
0.970 0.375 0.297
0.530 0.203 0.125
0.578 0.703 0.673
0.970 0.595 0.173
0.327 0.797 0.422
0.095 0.922 0.125
0.595 0.970 0.673
0.703 0.578 0.173
0.797 0.470 0.375
0.827 0.905 0.030
0.125 0.703 0.530
0.375 0.405 0.078
0.078 0.905 0.375
0.422 0.125 0.595
0.078 0.173 0.203
0.470 0.673 0.095
0.827 0.922 0.297
0.125 0.422 0.095
0.375 0.970 0.797
0.595 0.625 0.422
0.905 0.827 0.530
0.797 0.327 0.922
0.405 0.375 0.578
0.095 0.173 0.470
0.203 0.673 0.078
0.173 0.078 0.703
0.625 0.030 0.203
0.875 0.578 0.905
0.530 0.327 0.905
0.578 0.875 0.405
0.922 0.827 0.797
0.922 0.095 0.625
0.875 0.297 0.470
0.173 0.095 0.970
0.625 0.595 0.922
0.405 0.030 0.327
0.297 0.422 0.827
0.203 0.530 0.625
0.905 0.078 0.875
0.673 0.203 0.578
0.470 0.797 0.875
0.030 0.405 0.827
0.422 0.297 0.327
0.030 0.625 0.703
0.673 0.470 0.595
0.297 0.875 0.970
```

Record 3
This record from the Alexandria database describes a geometry-optimized TlSeI2Br structure. The functional is PBE-GGA.

Results
- E (eV for the cell shown) = -11.618
- D(E_F) (states/eV/cell) = 4.3
- magnetic moment (μB per atom) = 0.000

Cell and atoms, written as POSCAR:
```
TlSeI2Br
1.0
6.012 0.000 0.000
0.000 6.012 0.000
0.000 0.000 5.238
I Tl Se Br
2 1 1 1
Direct
0.000 0.500 0.000
0.500 0.000 0.000
0.500 0.500 0.500
0.000 0.000 0.000
0.000 0.000 0.500
```

Record 4
This record from the Alexandria database describes a geometry-optimized Nd2PuAs4Rh3 structure. The functional is PBE-GGA.

Results
- E (eV for the cell shown) = -72.926
- ΔH_f (0 K) (meV/atom) = -841
- D(E_F) (states/eV/cell) = 14.3
- magnetic moment (μB per atom) = 0.506

Cell and atoms, written as POSCAR:
```
Nd2PuAs4Rh3
1.0
4.325 0.000 0.000
0.000 4.325 0.000
0.000 0.000 11.053
Nd Pu As Rh
2 1 4 3
Direct
0.500 0.000 0.221
0.000 0.500 0.779
0.500 0.500 0.500
0.500 0.500 0.000
0.000 0.000 0.000
0.500 0.000 0.669
0.000 0.500 0.331
0.000 0.000 0.500
0.500 0.000 0.891
0.000 0.500 0.109
```

Record 5
This record from the Alexandria database describes a geometry-optimized CaFe2Pb structure. The functional is PBE-GGA.

Results
- E (eV for the cell shown) = -21.357
- ΔH_f (0 K) (meV/atom) = 320
- D(E_F) (states/eV/cell) = 2.9
- magnetic moment (μB per atom) = 1.155

Cell and atoms, written as POSCAR:
```
CaFe2Pb
1.0
5.572 0.001 0.016
2.384 5.036 -0.016
-3.486 -3.295 2.835
Pb Ca Fe
1 1 2
Direct
0.524 0.524 0.000
0.238 0.738 0.500
0.954 0.954 0.000
0.785 0.285 0.500
```

Record 6
This record from the Alexandria database describes a geometry-optimized La3SmY2Te6 structure. The functional is PBE-GGA.

Results
- E (eV for the cell shown) = -68.946
- D(E_F) (states/eV/cell) = 7.3
- magnetic moment (μB per atom) = 0.000

Cell and atoms, written as POSCAR:
```
La3SmY2Te6
1.0
-0.944 -4.787 -6.020
-1.619 -2.397 7.189
-6.089 4.766 -1.173
La Sm Y Te
3 1 2 6
Direct
0.164 0.836 0.500
0.836 0.164 0.500
0.500 0.500 0.500
0.000 0.000 0.000
0.333 0.667 0.000
0.667 0.333 0.000
0.921 0.583 0.763
0.740 0.740 0.234
0.079 0.417 0.237
0.583 0.921 0.763
0.260 0.260 0.766
0.417 0.079 0.237
```